# TbGdIn2Pt4, optimized geometry, DFT PBE
data_TbGdIn2Pt4
_chemical_formula_sum 'Tb1 Gd1 In2 Pt4'
_cell_length_a 4.5893
_cell_length_b 4.5893
_cell_length_c 9.0678
_cell_angle_alpha 90.00
_cell_angle_beta 90.00
_cell_angle_gamma 120.00
_space_group_name_H-M_alt 'P 1'
_space_group_IT_number 1
loop_
_space_group_symop_operation_xyz
'x,y,z'
loop_
_atom_site_label
_atom_site_type_symbol
_atom_site_fract_x
_atom_site_fract_y
_atom_site_fract_z
_atom_site_occupancy
Gd1 Gd 0.0000 0.0000 0.0000 1
In1 In 0.3333 0.6667 0.2505 1
In2 In 0.3333 0.6667 0.7495 1
Pt1 Pt 0.6667 0.3333 0.1594 1
Pt2 Pt 0.0000 0.0000 0.3422 1
Pt3 Pt 0.0000 0.0000 0.6578 1
Pt4 Pt 0.6667 0.3333 0.8406 1
Tb1 Tb 0.6667 0.3333 0.5000 1
# - Theoretical density: 13.31 g cm⁻³
# - Space-group type: P-6m2, No. 187
# - DFT total energy: -5.835 eV per atom

# NaPrGeSe3, optimized geometry, DFT PBE
data_NaPrGeSe3
_chemical_formula_sum 'Na2 Pr2 Ge2 Se6'
_cell_length_a 7.1001
_cell_length_b 7.1001
_cell_length_c 11.5413
_cell_angle_alpha 90.00
_cell_angle_beta 90.00
_cell_angle_gamma 142.87
_space_group_name_H-M_alt 'P 1'
_space_group_IT_number 1
loop_
_space_group_symop_operation_xyz
'x,y,z'
loop_
_atom_site_label
_atom_site_type_symbol
_atom_site_fract_x
_atom_site_fract_y
_atom_site_fract_z
_atom_site_occupancy
Ge1 Ge 0.5260 0.4740 0.2500 1
Ge2 Ge 0.4740 0.5260 0.7500 1
Na1 Na 0.2531 0.7469 0.2500 1
Na2 Na 0.7469 0.2531 0.7500 1
Pr1 Pr 0.0000 0.0000 0.0000 1
Pr2 Pr 0.0000 0.0000 0.5000 1
Se1 Se 0.6405 0.3595 0.0650 1
Se2 Se 0.9160 0.0840 0.2500 1
Se3 Se 0.6405 0.3595 0.4350 1
Se4 Se 0.3595 0.6405 0.5650 1
Se5 Se 0.0840 0.9160 0.7500 1
Se6 Se 0.3595 0.6405 0.9350 1
# - Theoretical density: 4.48 g cm⁻³
# - Space-group type: Cmcm, No. 63
# - DFT total energy: -4.536 eV per atom

# CsBaTm, optimized geometry, DFT PBE
data_CsBaTm
_chemical_formula_sum 'Cs1 Ba1 Tm1'
_cell_length_a 6.6269
_cell_length_b 6.6269
_cell_length_c 6.6269
_cell_angle_alpha 60.00
_cell_angle_beta 60.00
_cell_angle_gamma 60.00
_space_group_name_H-M_alt 'P 1'
_space_group_IT_number 1
loop_
_space_group_symop_operation_xyz
'x,y,z'
loop_
_atom_site_label
_atom_site_type_symbol
_atom_site_fract_x
_atom_site_fract_y
_atom_site_fract_z
_atom_site_occupancy
Ba1 Ba 0.2500 0.2500 0.2500 1
Cs1 Cs 0.7500 0.7500 0.7500 1
Tm1 Tm 0.0000 0.0000 0.0000 1
# - Theoretical density: 3.54 g cm⁻³
# - Space-group type: F-43m, No. 216
# - Energy above the lowest structure with this stoichiometry: 0 meV/atom

# PrInB4, optimized geometry, DFT PBE
data_PrInB4
_chemical_formula_sum 'Pr1 In1 B4'
_cell_length_a 5.3491
_cell_length_b 5.3491
_cell_length_c 5.3491
_cell_angle_alpha 144.45
_cell_angle_beta 119.17
_cell_angle_gamma 72.48
_space_group_name_H-M_alt 'P 1'
_space_group_IT_number 1
loop_
_space_group_symop_operation_xyz
'x,y,z'
loop_
_atom_site_label
_atom_site_type_symbol
_atom_site_fract_x
_atom_site_fract_y
_atom_site_fract_z
_atom_site_occupancy
B1 B 0.5669 0.2412 0.3258 1
B2 B 0.0846 0.7588 0.3258 1
B3 B 0.9154 0.2412 0.6742 1
B4 B 0.4331 0.7588 0.6742 1
In1 In 0.0000 0.0000 0.0000 1
Pr1 Pr 0.5000 0.5000 0.0000 1
# - Theoretical density: 6.51 g cm⁻³
# - Space-group type: Immm, No. 71
# - Energy above the lowest structure with this stoichiometry: 0 meV/atom

# CsSrNb2O6F, optimized geometry, DFT PBE
data_CsSrNb2O6F
_chemical_formula_sum 'Cs1 Sr1 Nb2 O6 F1'
_cell_length_a 3.8783
_cell_length_b 3.8783
_cell_length_c 11.4238
_cell_angle_alpha 90.00
_cell_angle_beta 90.00
_cell_angle_gamma 90.00
_space_group_name_H-M_alt 'P 1'
_space_group_IT_number 1
loop_
_space_group_symop_operation_xyz
'x,y,z'
loop_
_atom_site_label
_atom_site_type_symbol
_atom_site_fract_x
_atom_site_fract_y
_atom_site_fract_z
_atom_site_occupancy
Cs1 Cs 0.5000 0.5000 0.5000 1
F1 F 0.0000 0.0000 0.0000 1
Nb1 Nb 0.0000 0.0000 0.2096 1
Nb2 Nb 0.0000 0.0000 0.7904 1
O1 O 0.5000 0.0000 0.1651 1
O2 O 0.0000 0.5000 0.1651 1
O3 O 0.0000 0.0000 0.3664 1
O4 O 0.0000 0.0000 0.6336 1
O5 O 0.5000 0.0000 0.8349 1
O6 O 0.0000 0.5000 0.8349 1
Sr1 Sr 0.5000 0.5000 0.0000 1
# - Theoretical density: 5.04 g cm⁻³
# - Space-group type: P4/mmm, No. 123
# - DFT total energy: -7.720 eV per atom

# PtS2, optimized geometry, DFT PBE
data_PtS2
_chemical_formula_sum 'Pt1 S2'
_cell_length_a 5.6367
_cell_length_b 5.6367
_cell_length_c 5.6367
_cell_angle_alpha 36.16
_cell_angle_beta 36.16
_cell_angle_gamma 36.16
_space_group_name_H-M_alt 'P 1'
_space_group_IT_number 1
loop_
_space_group_symop_operation_xyz
'x,y,z'
loop_
_atom_site_label
_atom_site_type_symbol
_atom_site_fract_x
_atom_site_fract_y
_atom_site_fract_z
_atom_site_occupancy
Pt1 Pt 0.0013 0.0013 0.0013 1
S1 S 0.5768 0.5768 0.5768 1
S2 S 0.7532 0.7532 0.7532 1
# - Theoretical density: 7.72 g cm⁻³
# - Space-group type: R3m, No. 160
# - DFT total energy: -4.572 eV per atom

no.,total moment (μB/f.u.)
1,0.0
2,0.0
3,2.0
4,0.0
5,0.0
6,0.0